Entry 1:
Entry from the Alexandria database: crystalline BRu at its relaxed geometry (PBE).

Output
The space group is No. 216. The value obtained for the calculated formation energy is 520 meV per atom.

Unit cell a=4.695 b=4.695 c=4.695 alpha=90.00 beta=90.00 gamma=90.00
Each line ends with the local moment (μB).
Fractional coordinates of all 8 atoms:
1 B 0.250 0.250 0.250  -0.01
2 B 0.250 0.750 0.750  -0.01
3 B 0.750 0.250 0.750  -0.01
4 B 0.750 0.750 0.250  -0.01
5 Ru 0.000 0.000 0.000  0.76
6 Ru 0.000 0.500 0.500  0.76
7 Ru 0.500 0.000 0.500  0.76
8 Ru 0.500 0.500 0.000  0.76

Entry 2:
Entry from the Alexandria database: crystalline Ta2Fe2Ge at its relaxed geometry (PBE).

Output
The space group is No. 127. The value obtained for the calculated formation energy is -34 meV per atom.

Unit cell a=6.955 b=6.955 c=3.020 alpha=90.00 beta=90.00 gamma=90.00
Fractional coordinates of all 10 atoms:
1 Ge 0.000 0.000 0.000
2 Ge 0.500 0.500 0.000
3 Fe 0.368 0.868 0.000
4 Fe 0.868 0.632 0.000
5 Fe 0.632 0.132 0.000
6 Fe 0.132 0.368 0.000
7 Ta 0.166 0.666 0.500
8 Ta 0.666 0.834 0.500
9 Ta 0.834 0.334 0.500
10 Ta 0.334 0.166 0.500

Entry 3:
Entry from the Alexandria database: crystalline BaRhCl2 at its relaxed geometry (PBE).

Output
The space group is No. 123. Its energy relative to the lowest polymorph listed for this composition is 0.280 eV per atom.

Unit cell a=3.994 b=4.911 c=4.911 alpha=90.00 beta=90.00 gamma=90.00
Each line ends with the local moment (μB).
Fractional coordinates of all 4 atoms:
1 Rh 0.500 0.500 0.000  1.01
2 Ba 0.500 0.000 0.500  -0.02
3 Cl 0.000 0.000 0.000  0.04
4 Cl 0.000 0.500 0.500  0.04